! Er3Co4Ni2 PBE relaxed; values from VASP
! energy = -5.92 eV per atom
! magnetic moment = 0.436 μB/atom
! formation energy from the elements = 0.44 eV/f.u.
&SYSTEM
  ibrav = 0, nat = 18, ntyp = 3
/
ATOMIC_SPECIES
Er 167.26 Er.upf
Co 58.93 Co.upf
Ni 58.69 Ni.upf
ATOMIC_POSITIONS angstrom
Er 1.466 -17.963 2.688
Er 1.252 -23.136 3.487
Er 1.750 -11.126 1.633
Er 1.608 -14.559 2.163
Er 2.121 -2.187 0.252
Er 1.904 -7.425 1.061
Co 0.501 -13.115 0.047
Co 0.652 -9.479 -0.515
Co 1.023 -0.523 -1.898
Co 0.172 -21.047 1.271
Co 0.875 -4.102 -1.345
Co -0.886 -21.350 3.297
Co -0.183 -4.421 0.683
Co -0.004 -0.097 0.015
Ni -0.381 -9.191 1.419
Ni -0.796 -19.181 2.962
Ni -0.674 -16.254 2.510
Ni 0.785 -6.263 -1.011
CELL_PARAMETERS angstrom
-0.146 -0.578 -3.783
3.384 0.136 1.787
-1.031 -24.846 3.836

! Er6Co2Ni PBE relaxed; values from VASP
! energy = -5.49 eV per atom
! magnetic moment = 0.000 μB/atom
! formation energy from the elements = -2.01 eV/f.u.
&SYSTEM
  ibrav = 0, nat = 18, ntyp = 3
/
ATOMIC_SPECIES
Er 167.26 Er.upf
Co 58.93 Co.upf
Ni 58.69 Ni.upf
ATOMIC_POSITIONS angstrom
Er -1.715 -4.369 3.751
Er -1.403 -2.481 -0.822
Er -2.022 -0.503 5.635
Er -1.096 -6.347 -2.707
Er -1.964 -5.597 0.546
Er -1.153 -1.253 2.382
Er -0.134 -3.226 6.595
Er -2.984 -3.624 -3.667
Er -3.991 -2.942 1.457
Er 0.873 -3.908 1.471
Er 1.581 -5.278 4.397
Er -4.699 -1.572 -1.469
Co -3.684 -2.233 3.980
Co 0.566 -4.617 -1.052
Co -5.991 -0.962 0.999
Co -2.942 -0.473 0.491
Ni 1.019 -1.972 4.212
Ni 0.000 0.000 0.000
CELL_PARAMETERS angstrom
-5.156 -2.905 -5.495
5.816 -5.415 1.439
-3.778 1.470 6.985

! Er2CoNi3 PBE relaxed; values from VASP
! energy = -5.62 eV per atom
! magnetic moment = 0.266 μB/atom
! formation energy from the elements = -0.16 eV/f.u.
&SYSTEM
  ibrav = 0, nat = 6, ntyp = 3
/
ATOMIC_SPECIES
Er 167.26 Er.upf
Co 58.93 Co.upf
Ni 58.69 Ni.upf
ATOMIC_POSITIONS angstrom
Er -0.624 -0.903 2.552
Er 2.386 -2.534 1.925
Co 0.717 -2.330 -0.650
Ni 2.055 -0.251 3.170
Ni 0.000 0.000 0.000
Ni -0.293 -3.187 1.307
CELL_PARAMETERS angstrom
-3.265 -1.561 1.993
1.435 -4.661 -1.299
3.593 2.784 3.783